Compound: Li5Pa3Se12
Source: the Alexandria database
Functional: PBE
Structure: optimized geometry

Output
total magnetization: 0.00 μB per cell
calculated total energy: -399.434 eV per cell
symmetry: Ia-3d, No. 230

Unit cell a=13.6297 b=13.6297 c=13.6297 alpha=109.47 beta=109.47 gamma=109.47
Last column: nearest neighbours and their distance in Å.
Positions (direct):
Li (0.0000, 0.0000, 0.0000)  6 Se 2.73
Li (0.0000, 0.0000, 0.5000)  6 Se 2.73
Li (0.0000, 0.5000, 0.0000)  6 Se 2.73
Li (0.0000, 0.5000, 0.5000)  6 Se 2.73
Li (0.1250, 0.7500, 0.8750)  4 Se 2.46
Li (0.1250, 0.8750, 0.2500)  4 Se 2.46
Li (0.2500, 0.1250, 0.8750)  4 Se 2.46
Li (0.2500, 0.6250, 0.3750)  4 Se 2.46
Li (0.3750, 0.2500, 0.6250)  4 Se 2.46
Li (0.3750, 0.6250, 0.7500)  4 Se 2.46
Li (0.5000, 0.0000, 0.0000)  6 Se 2.73
Li (0.5000, 0.0000, 0.5000)  6 Se 2.73
Li (0.5000, 0.5000, 0.0000)  6 Se 2.73
Li (0.5000, 0.5000, 0.5000)  6 Se 2.73
Li (0.6250, 0.3750, 0.2500)  4 Se 2.46
Li (0.6250, 0.7500, 0.3750)  4 Se 2.46
Li (0.7500, 0.3750, 0.6250)  4 Se 2.46
Li (0.7500, 0.8750, 0.1250)  4 Se 2.46
Li (0.8750, 0.1250, 0.7500)  4 Se 2.46
Li (0.8750, 0.2500, 0.1250)  4 Se 2.46
Pa (0.1250, 0.2500, 0.3750)  8 Se 2.89-2.95
Pa (0.1250, 0.3750, 0.7500)  8 Se 2.89-2.95
Pa (0.2500, 0.3750, 0.1250)  8 Se 2.89-2.95
Pa (0.2500, 0.8750, 0.6250)  8 Se 2.89-2.95
Pa (0.3750, 0.1250, 0.2500)  8 Se 2.89-2.95
Pa (0.3750, 0.7500, 0.1250)  8 Se 2.89-2.95
Pa (0.6250, 0.2500, 0.8750)  8 Se 2.89-2.95
Pa (0.6250, 0.8750, 0.7500)  8 Se 2.89-2.95
Pa (0.7500, 0.1250, 0.3750)  8 Se 2.89-2.95
Pa (0.7500, 0.6250, 0.8750)  8 Se 2.89-2.95
Pa (0.8750, 0.6250, 0.2500)  8 Se 2.89-2.95
Pa (0.8750, 0.7500, 0.6250)  8 Se 2.89-2.95
Se (0.0490, 0.2274, 0.1353)  2 Li 2.46-2.73
Se (0.0490, 0.3216, 0.9137)  2 Li 2.46-2.73
Se (0.0863, 0.6353, 0.4079)  2 Li 2.46-2.73
Se (0.0863, 0.9510, 0.6784)  2 Li 2.46-2.73
Se (0.0921, 0.7274, 0.6784)  2 Li 2.46-2.73
Se (0.0921, 0.8647, 0.4137)  2 Li 2.46-2.73
Se (0.1353, 0.0490, 0.2274)  2 Li 2.46-2.73
Se (0.1353, 0.5863, 0.9079)  2 Li 2.46-2.73
Se (0.1784, 0.2274, 0.5921)  2 Li 2.46-2.73
Se (0.1784, 0.4510, 0.5863)  2 Li 2.46-2.73
Se (0.2274, 0.1353, 0.0490)  2 Li 2.46-2.73
Se (0.2274, 0.5921, 0.1784)  2 Li 2.46-2.73
Se (0.2726, 0.3216, 0.9079)  2 Li 2.46-2.73
Se (0.2726, 0.4510, 0.3647)  2 Li 2.46-2.73
Se (0.3216, 0.9079, 0.2726)  2 Li 2.46-2.73
Se (0.3216, 0.9137, 0.0490)  2 Li 2.46-2.73
Se (0.3647, 0.2726, 0.4510)  2 Li 2.46-2.73
Se (0.3647, 0.5921, 0.9137)  2 Li 2.46-2.73
Se (0.4079, 0.0863, 0.6353)  2 Li 2.46-2.73
Se (0.4079, 0.8216, 0.7726)  2 Li 2.46-2.73
Se (0.4137, 0.0921, 0.8647)  2 Li 2.46-2.73
Se (0.4137, 0.8216, 0.5490)  2 Li 2.46-2.73
Se (0.4510, 0.3647, 0.2726)  2 Li 2.46-2.73
Se (0.4510, 0.5863, 0.1784)  2 Li 2.46-2.73
Se (0.5490, 0.4137, 0.8216)  2 Li 2.46-2.73
Se (0.5490, 0.6353, 0.7274)  2 Li 2.46-2.73
Se (0.5863, 0.1784, 0.4510)  2 Li 2.46-2.73
Se (0.5863, 0.9079, 0.1353)  2 Li 2.46-2.73
Se (0.5921, 0.1784, 0.2274)  2 Li 2.46-2.73
Se (0.5921, 0.9137, 0.3647)  2 Li 2.46-2.73
Se (0.6353, 0.4079, 0.0863)  2 Li 2.46-2.73
Se (0.6353, 0.7274, 0.5490)  2 Li 2.46-2.73
Se (0.6784, 0.0863, 0.9510)  2 Li 2.46-2.73
Se (0.6784, 0.0921, 0.7274)  2 Li 2.46-2.73
Se (0.7274, 0.5490, 0.6353)  2 Li 2.46-2.73
Se (0.7274, 0.6784, 0.0921)  2 Li 2.46-2.73
Se (0.7726, 0.4079, 0.8216)  2 Li 2.46-2.73
Se (0.7726, 0.8647, 0.9510)  2 Li 2.46-2.73
Se (0.8216, 0.5490, 0.4137)  2 Li 2.46-2.73
Se (0.8216, 0.7726, 0.4079)  2 Li 2.46-2.73
Se (0.8647, 0.4137, 0.0921)  2 Li 2.46-2.73
Se (0.8647, 0.9510, 0.7726)  2 Li 2.46-2.73
Se (0.9079, 0.1353, 0.5863)  2 Li 2.46-2.73
Se (0.9079, 0.2726, 0.3216)  2 Li 2.46-2.73
Se (0.9137, 0.0490, 0.3216)  2 Li 2.46-2.73
Se (0.9137, 0.3647, 0.5921)  2 Li 2.46-2.73
Se (0.9510, 0.6784, 0.0863)  2 Li 2.46-2.73
Se (0.9510, 0.7726, 0.8647)  2 Li 2.46-2.73

***

Compound: LiPa2Se6
Source: the Alexandria database
Functional: PBE
Structure: optimized geometry

Output
total magnetization: 0.00 μB per cell
E above lowest polymorph: 0.92 eV per formula unit
symmetry: P4_2/mnm, No. 136

Unit cell a=6.6124 b=6.6124 c=12.2298 alpha=90.00 beta=90.00 gamma=90.00
Last column: nearest neighbours and their distance in Å.
Positions (direct):
Li (0.0000, 0.0000, 0.0000)  6 Se 2.76-2.87
Li (0.5000, 0.5000, 0.5000)  6 Se 2.76-2.87
Pa (0.0000, 0.0000, 0.3283)  6 Se 2.77-2.78
Pa (0.0000, 0.0000, 0.6717)  6 Se 2.77-2.78
Pa (0.5000, 0.5000, 0.1717)  6 Se 2.77-2.78
Pa (0.5000, 0.5000, 0.8283)  6 Se 2.77-2.78
Se (0.1935, 0.1935, 0.5000)  2 Pa 2.77, 1 Li 2.87
Se (0.2043, 0.2043, 0.1633)  1 Li 2.76, 2 Pa 2.77-2.78
Se (0.2043, 0.2043, 0.8367)  1 Li 2.76, 2 Pa 2.77-2.78
Se (0.2957, 0.7043, 0.3367)  1 Li 2.76, 2 Pa 2.77-2.78
Se (0.2957, 0.7043, 0.6633)  1 Li 2.76, 2 Pa 2.77-2.78
Se (0.3065, 0.6935, 0.0000)  2 Pa 2.77, 1 Li 2.87
Se (0.6935, 0.3065, 0.0000)  2 Pa 2.77, 1 Li 2.87
Se (0.7043, 0.2957, 0.3367)  1 Li 2.76, 2 Pa 2.77-2.78
Se (0.7043, 0.2957, 0.6633)  1 Li 2.76, 2 Pa 2.77-2.78
Se (0.7957, 0.7957, 0.1633)  1 Li 2.76, 2 Pa 2.77-2.78
Se (0.7957, 0.7957, 0.8367)  1 Li 2.76, 2 Pa 2.77-2.78
Se (0.8065, 0.8065, 0.5000)  2 Pa 2.77, 1 Li 2.87

***

Compound: LiPa2Se3
Source: the Alexandria database
Functional: PBE
Structure: optimized geometry

Output
total magnetization: 2.64 μB per cell
calculated total energy: -77.745 eV per cell
symmetry: C2/m, No. 12

Unit cell a=6.7315 b=6.7315 c=7.3116 alpha=98.84 beta=98.84 gamma=120.12
Last column: nearest neighbours and their distance in Å.
Positions (direct):
Li (0.1677, 0.8323, 0.0000)  6 Se 2.72-2.74
Li (0.8323, 0.1677, 0.0000)  6 Se 2.72-2.74
Pa (0.0000, 0.0000, 0.5000)  6 Se 2.87-2.95
Pa (0.3367, 0.6633, 0.5000)  6 Se 2.88-2.94
Pa (0.5000, 0.5000, 0.0000)  6 Se 2.82-2.83
Pa (0.6633, 0.3367, 0.5000)  6 Se 2.88-2.94
Se (0.0779, 0.4232, 0.7672)  2 Li 2.72-2.74, 4 Pa 2.83-2.95
Se (0.2295, 0.2295, 0.2278)  2 Li 2.72, 4 Pa 2.82-2.94
Se (0.4232, 0.0779, 0.7672)  2 Li 2.72-2.74, 4 Pa 2.83-2.95
Se (0.5768, 0.9221, 0.2328)  2 Li 2.72-2.74, 4 Pa 2.83-2.95
Se (0.7705, 0.7705, 0.7722)  2 Li 2.72, 4 Pa 2.82-2.94
Se (0.9221, 0.5768, 0.2328)  2 Li 2.72-2.74, 4 Pa 2.83-2.95

***

Which value of total magnetization does entry 1 give?
0.00 μB per cell